No. 1
A relaxed CeTl2I8 crystal. Source: the Alexandria database, functional GGA-PBE.

abc: 7.680 8.579 8.579
angles: 77.15 89.51 89.51
Positions (direct):
Ce1 0.000 0.000 0.000
Tl1 0.002 0.312 0.312
Tl2 0.998 0.688 0.688
I1 0.822 0.065 0.678
I2 0.178 0.322 0.935
I3 0.700 0.152 0.152
I4 0.300 0.848 0.848
I5 0.822 0.678 0.065
I6 0.178 0.935 0.322
I7 0.344 0.446 0.446
I8 0.656 0.554 0.554

Computed properties:
E_form (uncorrected) ... -16.57 kcal/mol of atoms
Energy above the lowest structure with this stoichiometry ... 0 meV/atom

No. 2
A relaxed LaZnF2 crystal. Source: the Alexandria database, functional GGA-PBE.

abc: 4.626 4.626 8.330
angles: 73.88 73.88 90.00
Positions (direct):
Zn1 0.500 0.500 0.000
Zn2 0.250 0.750 0.500
F1 0.730 0.125 0.250
F2 0.020 0.625 0.250
F3 0.375 0.270 0.750
F4 0.875 0.980 0.750
La1 0.000 0.000 0.000
La2 0.750 0.250 0.500

Computed properties:
E_form (uncorrected) ... -52.54 kcal/mol of atoms
Energy above the lowest structure with this stoichiometry ... 0 meV/atom

No. 3
A relaxed ZnFeP crystal. Source: the Alexandria database, functional GGA-PBE.

abc: 2.830 2.830 5.837
angles: 90.00 90.00 120.00
Site moments in Bohr magnetons follow the coordinates.
Positions (direct):
Fe1 0.000 0.000 0.030  1.08
P1 0.667 0.333 0.283  -0.05
Zn1 0.333 0.667 0.687  -0.03

Computed properties:
Energy of formation ... -18 kJ/mol of formula units